# 1
VASP calculation (GGA-PBE) on a geometry-optimized Li3Mg4In structure.

abc: 12.5023 12.5023 4.5276
angles: 99.27 99.27 14.65
Fractional positions:
Li 0.0000 0.0000 0.0000
Li 0.1525 0.1525 0.6562
Li 0.8475 0.8475 0.3438
Mg 0.2814 0.2814 0.7810
Mg 0.4049 0.4049 0.8995
Mg 0.5950 0.5950 0.1005
Mg 0.7186 0.7186 0.2190
In 0.5000 0.5000 0.5000

total magnetization	0.000	μB per atom
formation enthalpy at 0 K	-0.0108	eV per atom
crystal system	monoclinic


# 2
VASP calculation (GGA-PBE) on a geometry-optimized LiMg2In8 structure.

abc: 4.7948 4.7948 11.8438
angles: 90.00 90.00 90.00
Fractional positions:
Li 0.0000 0.0000 0.0000
Mg 0.0000 0.0000 0.3117
Mg 0.0000 0.0000 0.6883
In 0.0000 0.5000 0.1328
In 0.0000 0.5000 0.5000
In 0.0000 0.5000 0.8672
In 0.5000 0.0000 0.1328
In 0.5000 0.0000 0.5000
In 0.5000 0.0000 0.8672
In 0.5000 0.5000 0.3159
In 0.5000 0.5000 0.6841

total magnetization	0.000	μB per atom
formation enthalpy at 0 K	-0.0579	eV per atom
crystal system	tetragonal


# 3
VASP calculation (GGA-PBE) on a geometry-optimized LiMg6In12 structure.

abc: 7.7785 7.7785 7.7785
angles: 92.04 92.04 92.04
Fractional positions:
Li 0.0000 0.0000 0.0000
Mg 0.1177 0.2729 0.7350
Mg 0.2650 0.8823 0.7271
Mg 0.2729 0.7350 0.1177
Mg 0.7271 0.2650 0.8823
Mg 0.7350 0.1177 0.2729
Mg 0.8823 0.7271 0.2650
In 0.0343 0.3624 0.1378
In 0.1378 0.0343 0.3624
In 0.1982 0.5525 0.4660
In 0.3624 0.1378 0.0343
In 0.4475 0.5340 0.8018
In 0.4660 0.1982 0.5525
In 0.5340 0.8018 0.4475
In 0.5525 0.4660 0.1982
In 0.6376 0.8622 0.9657
In 0.8018 0.4475 0.5340
In 0.8622 0.9657 0.6376
In 0.9657 0.6376 0.8622

total magnetization	0.000	μB per atom
formation enthalpy at 0 K	-0.0379	eV per atom
crystal system	trigonal


# 4
VASP calculation (GGA-PBE) on a geometry-optimized LiMgIn4 structure.

abc: 7.1482 7.1482 6.5558
angles: 105.40 105.40 26.11
Fractional positions:
Li 0.0000 0.0000 0.0000
Mg 0.0000 0.0000 0.5000
In 0.3405 0.3405 0.6703
In 0.3436 0.3436 0.1576
In 0.6564 0.6564 0.8424
In 0.6595 0.6595 0.3297

total magnetization	0.000	μB per atom
formation enthalpy at 0 K	-0.1027	eV per atom
crystal system	monoclinic


# 5
VASP calculation (GGA-PBE) on a geometry-optimized Li4MgIn5 structure.

abc: 3.4856 3.4856 16.7856
angles: 90.00 90.00 90.00
Fractional positions:
Li 0.0000 0.0000 0.0967
Li 0.0000 0.0000 0.2900
Li 0.0000 0.0000 0.7100
Li 0.0000 0.0000 0.9033
Mg 0.0000 0.0000 0.5000
In 0.5000 0.5000 0.0000
In 0.5000 0.5000 0.1927
In 0.5000 0.5000 0.3874
In 0.5000 0.5000 0.6126
In 0.5000 0.5000 0.8073

total magnetization	0.000	μB per atom
formation enthalpy at 0 K	-0.2410	eV per atom
crystal system	tetragonal


# 6
VASP calculation (GGA-PBE) on a geometry-optimized LiMgIn2 structure.

abc: 4.4684 4.4684 4.3889
angles: 90.00 90.00 90.00
Fractional positions:
Li 0.0000 0.0000 0.0000
Mg 0.5000 0.5000 0.0000
In 0.0000 0.5000 0.5000
In 0.5000 0.0000 0.5000

total magnetization	0.000	μB per atom
formation enthalpy at 0 K	-0.1846	eV per atom
crystal system	tetragonal


# 7
VASP calculation (GGA-PBE) on a geometry-optimized LiMgIn2 structure.

abc: 5.0675 5.0675 5.0675
angles: 60.00 60.00 60.00
Fractional positions:
Li 0.0000 0.0000 0.0000
Mg 0.2500 0.2500 0.2500
In 0.5000 0.5000 0.5000
In 0.7500 0.7500 0.7500

total magnetization	0.000	μB per atom
formation enthalpy at 0 K	-0.0866	eV per atom
crystal system	cubic


# 8
VASP calculation (GGA-PBE) on a geometry-optimized Li3Mg2In2 structure.

abc: 4.8441 4.8441 7.4667
angles: 108.23 108.23 59.62
Fractional positions:
Li 0.0000 0.0000 0.0000
Li 0.4229 0.4229 0.2678
Li 0.5771 0.5771 0.7322
Mg 0.1369 0.1369 0.4112
Mg 0.8631 0.8631 0.5888
In 0.2811 0.2811 0.8439
In 0.7189 0.7189 0.1561

total magnetization	0.000	μB per atom
formation enthalpy at 0 K	-0.1893	eV per atom
crystal system	monoclinic


# 9
VASP calculation (GGA-PBE) on a geometry-optimized Li2Mg5In structure.

abc: 6.3547 12.7782 4.2868
angles: 90.00 90.00 90.00
Fractional positions:
Li 0.2485 0.1223 0.0000
Li 0.2515 0.6223 0.0000
Li 0.7485 0.3777 0.0000
Li 0.7515 0.8777 0.0000
Mg 0.0000 0.0000 0.5000
Mg 0.0075 0.7463 0.5000
Mg 0.2455 0.3778 0.0000
Mg 0.2545 0.8778 0.0000
Mg 0.4925 0.2463 0.5000
Mg 0.5000 0.5000 0.5000
Mg 0.5075 0.7537 0.5000
Mg 0.7455 0.1222 0.0000
Mg 0.7545 0.6222 0.0000
Mg 0.9925 0.2537 0.5000
In 0.0000 0.5000 0.5000
In 0.5000 0.0000 0.5000

total magnetization	0.000	μB per atom
formation enthalpy at 0 K	-0.0785	eV per atom
crystal system	orthorhombic


# 10
VASP calculation (GGA-PBE) on a geometry-optimized LiMg5In4 structure.

abc: 5.3609 6.4020 7.2205
angles: 77.01 74.15 74.24
Fractional positions:
Li 0.0000 0.0000 0.0000
Mg 0.0000 0.5000 0.0000
Mg 0.2019 0.8039 0.6013
Mg 0.3963 0.6014 0.2027
Mg 0.6037 0.3986 0.7973
Mg 0.7981 0.1961 0.3987
In 0.1974 0.2971 0.6172
In 0.3954 0.1115 0.1934
In 0.6046 0.8885 0.8066
In 0.8026 0.7029 0.3828

total magnetization	0.000	μB per atom
formation enthalpy at 0 K	-0.1141	eV per atom
crystal system	triclinic


# 11
VASP calculation (GGA-PBE) on a geometry-optimized Li2Mg3In3 structure.

abc: 8.0315 8.0315 3.1241
angles: 90.00 90.00 120.00
Fractional positions:
Li 0.3333 0.6667 0.0000
Li 0.6667 0.3333 0.0000
Mg 0.0000 0.2537 0.0000
Mg 0.2537 0.0000 0.0000
Mg 0.7463 0.7463 0.0000
In 0.0000 0.6174 0.5000
In 0.3826 0.3826 0.5000
In 0.6174 0.0000 0.5000

total magnetization	0.000	μB per atom
formation enthalpy at 0 K	-0.1388	eV per atom
crystal system	hexagonal


# 12
VASP calculation (GGA-PBE) on a geometry-optimized LiMg3In2 structure.

abc: 3.1655 4.9809 8.5337
angles: 90.00 90.00 90.00
Fractional positions:
Li 0.0000 0.0000 0.0000
Mg 0.0000 0.0000 0.3278
Mg 0.0000 0.5000 0.5074
Mg 0.0000 0.5000 0.8473
In 0.5000 0.0000 0.6726
In 0.5000 0.5000 0.1707

total magnetization	0.000	μB per atom
formation enthalpy at 0 K	-0.0293	eV per atom
crystal system	orthorhombic